No. 1
Cu2Cl13 | PBE | relaxed

abc: 7.267 7.903 8.161
angles: 82.82 89.51 85.18
Positions (direct):
1 Cu 0.211 0.409 0.047
2 Cu 0.789 0.591 0.953
3 Cl 0.088 0.659 0.917
4 Cl 0.204 0.640 0.559
5 Cl 0.265 0.100 0.753
6 Cl 0.280 0.132 0.503
7 Cl 0.316 0.158 0.159
8 Cl 0.316 0.625 0.335
9 Cl 0.500 0.500 0.000
10 Cl 0.684 0.375 0.665
11 Cl 0.684 0.842 0.841
12 Cl 0.720 0.868 0.497
13 Cl 0.735 0.900 0.247
14 Cl 0.796 0.360 0.441
15 Cl 0.912 0.341 0.083

Computed properties:
Space-group type = P-1 (2)
D(E_F) = 13.13 states/eV per cell

No. 2
CuCl | PBE | relaxed

abc: 7.492 7.492 7.492
angles: 28.42 28.42 28.42
Positions (direct):
1 Cu 0.128 0.128 0.128
2 Cu 0.872 0.872 0.872
3 Cl 0.418 0.418 0.418
4 Cl 0.582 0.582 0.582

Computed properties:
Space-group type = R-3m (166)
D(E_F) = 0.23 states/eV per cell

No. 3
Cu4Cl5 | PBE | relaxed

abc: 7.329 7.329 6.924
angles: 90.00 90.00 120.00
Positions (direct):
1 Cu 0.000 0.000 0.000
2 Cu 0.000 0.000 0.500
3 Cu 0.000 0.439 0.250
4 Cu 0.000 0.561 0.750
5 Cu 0.439 0.000 0.250
6 Cu 0.439 0.439 0.750
7 Cu 0.561 0.000 0.750
8 Cu 0.561 0.561 0.250
9 Cl 0.000 0.246 0.750
10 Cl 0.000 0.754 0.250
11 Cl 0.246 0.000 0.750
12 Cl 0.246 0.246 0.250
13 Cl 0.333 0.667 0.000
14 Cl 0.333 0.667 0.500
15 Cl 0.667 0.333 0.000
16 Cl 0.667 0.333 0.500
17 Cl 0.754 0.000 0.250
18 Cl 0.754 0.754 0.750

Computed properties:
Space-group type = P6_3/mcm (193)
D(E_F) = 15.59 states/eV per cell

No. 4
Cu2Cl | PBE | relaxed

abc: 9.660 9.660 9.660
angles: 161.53 156.10 30.38
Positions (direct):
1 Cu 0.146 0.896 0.250
2 Cu 0.283 0.033 0.250
3 Cu 0.717 0.967 0.750
4 Cu 0.854 0.104 0.750
5 Cl 0.400 0.650 0.750
6 Cl 0.600 0.350 0.250

Computed properties:
Space-group type = Imma (74)
D(E_F) = 1.60 states/eV per cell

No. 5
CuCl | PBE | relaxed

abc: 12.767 12.767 12.767
angles: 17.18 17.18 17.18
Positions (direct):
1 Cu 0.000 0.000 0.000
2 Cu 0.167 0.167 0.167
3 Cu 0.417 0.417 0.417
4 Cu 0.584 0.584 0.584
5 Cl 0.062 0.062 0.062
6 Cl 0.229 0.229 0.229
7 Cl 0.478 0.478 0.478
8 Cl 0.645 0.645 0.645

Computed properties:
Space-group type = R3m (160)
D(E_F) = 0.00 states/eV per cell

No. 6
Cu12Cl17 | PBE | relaxed

abc: 10.322 10.322 10.322
angles: 109.47 109.47 109.47
Positions (direct):
1 Cu 0.000 0.171 0.621
2 Cu 0.000 0.621 0.171
3 Cu 0.171 0.000 0.621
4 Cu 0.171 0.621 0.000
5 Cu 0.379 0.379 0.550
6 Cu 0.379 0.550 0.379
7 Cu 0.450 0.829 0.829
8 Cu 0.550 0.379 0.379
9 Cu 0.621 0.000 0.171
10 Cu 0.621 0.171 0.000
11 Cu 0.829 0.450 0.829
12 Cu 0.829 0.829 0.450
13 Cl 0.000 0.000 0.000
14 Cl 0.000 0.000 0.720
15 Cl 0.000 0.405 0.745
16 Cl 0.000 0.720 0.000
17 Cl 0.000 0.745 0.405
18 Cl 0.255 0.255 0.660
19 Cl 0.255 0.660 0.255
20 Cl 0.280 0.280 0.280
21 Cl 0.340 0.595 0.595
22 Cl 0.405 0.000 0.745
23 Cl 0.405 0.745 0.000
24 Cl 0.595 0.340 0.595
25 Cl 0.595 0.595 0.340
26 Cl 0.660 0.255 0.255
27 Cl 0.720 0.000 0.000
28 Cl 0.745 0.000 0.405
29 Cl 0.745 0.405 0.000

Computed properties:
Space-group type = I-43m (217)
D(E_F) = 16.07 states/eV per cell

No. 7
Cu5Cl3 | PBE | relaxed

abc: 7.239 7.239 6.396
angles: 90.00 90.00 120.00
Positions (direct):
1 Cu 0.000 0.185 0.250
2 Cu 0.000 0.815 0.750
3 Cu 0.185 0.000 0.250
4 Cu 0.185 0.185 0.750
5 Cu 0.333 0.667 0.000
6 Cu 0.333 0.667 0.500
7 Cu 0.667 0.333 0.000
8 Cu 0.667 0.333 0.500
9 Cu 0.815 0.000 0.750
10 Cu 0.815 0.815 0.250
11 Cl 0.000 0.489 0.250
12 Cl 0.000 0.511 0.750
13 Cl 0.489 0.000 0.250
14 Cl 0.489 0.489 0.750
15 Cl 0.511 0.000 0.750
16 Cl 0.511 0.511 0.250

Computed properties:
Space-group type = P6_3/mcm (193)
D(E_F) = 1.12 states/eV per cell

No. 8
CuCl | PBE | relaxed

abc: 6.864 6.864 7.134
angles: 119.59 119.59 32.56
Positions (direct):
1 Cu 0.000 0.000 0.000
2 Cu 0.050 0.050 0.397
3 Cu 0.632 0.632 0.272
4 Cl 0.207 0.207 0.196
5 Cl 0.398 0.398 0.877
6 Cl 0.580 0.580 0.558

Computed properties:
Space-group type = Cm (8)

The calculation returns the following energy relative to the elements, uncorrected values, one per record and in order: -158, -347, -167, 160, -380, -427, 110, -346 meV per atom.